a | This record from Alexandria describes a geometry-optimized AlTePb structure. The functional is GGA-PBE.

Cell: 5.0170 5.0170 5.0170 Å, 60.00 60.00 60.00°
Element x y z (fractional)
Al: 0.0000 0.0000 0.0000
Te: 0.7500 0.7500 0.7500
Pb: 0.2500 0.2500 0.2500

Calculated values
- magnetization (Bohr magnetons per cell) = 0.00
- DOS(E_F) (states/eV per atom) = 0.7719
- SG = No. 216



b | This record from Alexandria describes a geometry-optimized AlTePb structure. The functional is GGA-PBE.

Cell: 6.4204 6.4204 6.4204 Å, 145.85 145.85 49.07°
Element x y z (fractional)
Al: 0.0000 0.0000 0.0000
Te: 0.6053 0.6053 0.0000
Pb: 0.3361 0.3361 0.0000

Calculated values
- magnetization (Bohr magnetons per cell) = 0.00
- DOS(E_F) (states/eV per atom) = 0.3380
- SG = No. 107



Which is most stable? The ranking, best first, is b, a.



a | This record from Alexandria describes a geometry-optimized Al2Te2Pb structure. The functional is GGA-PBE.

Cell: 5.9267 5.9267 5.9267 Å, 124.67 124.67 82.08°
Element x y z (fractional)
Al: 0.1448 0.1448 0.0000
Al: 0.8552 0.8552 0.0000
Te: 0.2500 0.7500 0.5000
Te: 0.7500 0.2500 0.5000
Pb: 0.5000 0.5000 0.0000

Calculated values
- magnetization (Bohr magnetons per cell) = 0.00
- DOS(E_F) (states/eV per atom) = 0.3715
- SG = No. 139



b | This record from Alexandria describes a geometry-optimized Al2Te2Pb structure. The functional is GGA-PBE.

Cell: 9.0185 9.0185 9.0185 Å, 154.61 154.61 36.21°
Element x y z (fractional)
Al: 0.2500 0.7500 0.5000
Al: 0.7500 0.2500 0.5000
Te: 0.1131 0.1131 0.0000
Te: 0.8869 0.8869 0.0000
Pb: 0.5000 0.5000 0.0000

Calculated values
- magnetization (Bohr magnetons per cell) = 0.00
- DOS(E_F) (states/eV per atom) = 0.4825
- SG = No. 139



Which is most stable? The ranking, best first, is a, b.



a | This record from Alexandria describes a geometry-optimized AlTe3Pb structure. The functional is GGA-PBE.

Cell: 5.8806 5.8806 5.8806 Å, 90.00 90.00 90.00°
Element x y z (fractional)
Al: 0.0000 0.0000 0.0000
Te: 0.0000 0.5000 0.5000
Te: 0.5000 0.0000 0.5000
Te: 0.5000 0.5000 0.0000
Pb: 0.5000 0.5000 0.5000

Calculated values
- magnetization (Bohr magnetons per cell) = 0.00
- DOS(E_F) (states/eV per atom) = 1.0295
- SG = No. 221



b | This record from Alexandria describes a geometry-optimized AlTe3Pb structure. The functional is GGA-PBE.

Cell: 5.3900 5.3900 5.3900 Å, 90.00 90.00 90.00°
Element x y z (fractional)
Al: 0.0000 0.0000 0.0000
Te: 0.0000 0.0000 0.5000
Te: 0.0000 0.5000 0.0000
Te: 0.5000 0.0000 0.0000
Pb: 0.5000 0.5000 0.5000

Calculated values
- magnetization (Bohr magnetons per cell) = 0.00
- DOS(E_F) (states/eV per atom) = 0.4220
- SG = No. 221



Which is most stable? The ranking, best first, is b, a.



a | This record from Alexandria describes a geometry-optimized ThAlPb structure. The functional is GGA-PBE.

Cell: 8.5998 8.5998 4.3145 Å, 90.00 90.00 148.43°
Element x y z (fractional)
Th: 0.0907 0.9093 0.7500
Th: 0.9093 0.0907 0.2500
Al: 0.4509 0.5491 0.7500
Al: 0.5491 0.4509 0.2500
Pb: 0.2550 0.7450 0.2500
Pb: 0.7450 0.2550 0.7500

Calculated values
- magnetization (Bohr magnetons per cell) = 0.00
- DOS(E_F) (states/eV per atom) = 0.7670
- SG = No. 63



b | This record from Alexandria describes a geometry-optimized ThAlPb structure. The functional is GGA-PBE.

Cell: 4.7855 4.7855 4.0476 Å, 90.00 90.00 120.00°
Element x y z (fractional)
Th: 0.0000 0.0000 0.0000
Al: 0.3333 0.6667 0.5393
Pb: 0.6667 0.3333 0.4801

Calculated values
- magnetization (Bohr magnetons per cell) = 0.00
- DOS(E_F) (states/eV per atom) = 0.8215
- SG = No. 156



Which is most stable? The ranking, best first, is a, b.



a | This record from Alexandria describes a geometry-optimized Al2TlPb structure. The functional is GGA-PBE.

Cell: 11.1305 11.1305 11.1305 Å, 16.78 16.78 16.78°
Element x y z (fractional)
Al: 0.2453 0.2453 0.2453
Al: 0.7547 0.7547 0.7547
Tl: 0.5000 0.5000 0.5000
Pb: 0.0000 0.0000 0.0000

Calculated values
- magnetization (Bohr magnetons per cell) = 0.00
- DOS(E_F) (states/eV per atom) = 0.2914
- SG = No. 166



b | This record from Alexandria describes a geometry-optimized Al2TlPb structure. The functional is GGA-PBE.

Cell: 6.1480 6.1480 6.1480 Å, 146.67 127.59 63.54°
Element x y z (fractional)
Al: 0.2472 0.2472 0.0000
Al: 0.7528 0.7528 0.0000
Tl: 0.0000 0.5000 0.5000
Pb: 0.5000 0.0000 0.5000

Calculated values
- magnetization (Bohr magnetons per cell) = 0.00
- DOS(E_F) (states/eV per atom) = 0.4342
- SG = No. 71



Which is most stable? The ranking, best first, is a, b.



a | This record from Alexandria describes a geometry-optimized AlTl3Pb structure. The functional is GGA-PBE.

Cell: 5.9934 5.9934 5.9934 Å, 90.00 90.00 90.00°
Element x y z (fractional)
Al: 0.0000 0.0000 0.0000
Tl: 0.0000 0.5000 0.5000
Tl: 0.5000 0.0000 0.5000
Tl: 0.5000 0.5000 0.0000
Pb: 0.5000 0.5000 0.5000

Calculated values
- magnetization (Bohr magnetons per cell) = 0.00
- DOS(E_F) (states/eV per atom) = 0.7351
- SG = No. 221



b | This record from Alexandria describes a geometry-optimized AlTl3Pb structure. The functional is GGA-PBE.

Cell: 5.4376 5.4376 5.4376 Å, 90.00 90.00 90.00°
Element x y z (fractional)
Al: 0.0000 0.0000 0.0000
Tl: 0.0000 0.0000 0.5000
Tl: 0.0000 0.5000 0.0000
Tl: 0.5000 0.0000 0.0000
Pb: 0.5000 0.5000 0.5000

Calculated values
- magnetization (Bohr magnetons per cell) = 0.00
- DOS(E_F) (states/eV per atom) = 0.5183
- SG = No. 221



Which is most stable? The ranking, best first, is b, a.



a | This record from Alexandria describes a geometry-optimized Al2TlPb2 structure. The functional is GGA-PBE.

Cell: 6.8405 6.8405 6.8405 Å, 137.64 137.64 61.45°
Element x y z (fractional)
Al: 0.1085 0.1085 0.0000
Al: 0.8915 0.8915 0.0000
Tl: 0.5000 0.5000 0.0000
Pb: 0.2500 0.7500 0.5000
Pb: 0.7500 0.2500 0.5000

Calculated values
- magnetization (Bohr magnetons per cell) = 0.00
- DOS(E_F) (states/eV per atom) = 0.5442
- SG = No. 139



b | This record from Alexandria describes a geometry-optimized Al2TlPb2 structure. The functional is GGA-PBE.

Cell: 9.5617 9.5617 9.5617 Å, 156.26 156.26 33.82°
Element x y z (fractional)
Al: 0.2500 0.7500 0.5000
Al: 0.7500 0.2500 0.5000
Tl: 0.0000 0.0000 0.0000
Pb: 0.3752 0.3752 0.0000
Pb: 0.6248 0.6248 0.0000

Calculated values
- magnetization (Bohr magnetons per cell) = 0.00
- DOS(E_F) (states/eV per atom) = 0.4157
- SG = No. 139



c | This record from Alexandria describes a geometry-optimized Al2TlPb2 structure. The functional is GGA-PBE.

Cell: 8.7946 8.7946 3.4693 Å, 90.00 90.00 90.00°
Element x y z (fractional)
Al: 0.1164 0.3836 0.0000
Al: 0.3836 0.8836 0.0000
Al: 0.6164 0.1164 0.0000
Al: 0.8836 0.6164 0.0000
Tl: 0.0000 0.0000 0.0000
Tl: 0.5000 0.5000 0.0000
Pb: 0.1764 0.6764 0.5000
Pb: 0.3236 0.1764 0.5000
Pb: 0.6764 0.8236 0.5000
Pb: 0.8236 0.3236 0.5000

Calculated values
- magnetization (Bohr magnetons per cell) = 0.00
- DOS(E_F) (states/eV per atom) = 0.4072
- SG = No. 127



Which is most stable? The ranking, best first, is b, c, a.



a | This record from Alexandria describes a geometry-optimized TmAlPb2 structure. The functional is GGA-PBE.

Cell: 4.7287 4.7287 4.5888 Å, 90.00 90.00 90.00°
Element x y z (fractional)
Tm: 0.0000 0.0000 0.0000
Al: 0.5000 0.5000 0.0000
Pb: 0.0000 0.5000 0.5000
Pb: 0.5000 0.0000 0.5000

Calculated values
- magnetization (Bohr magnetons per cell) = 0.00
- DOS(E_F) (states/eV per atom) = 0.4571
- SG = No. 123



b | This record from Alexandria describes a geometry-optimized TmAlPb2 structure. The functional is GGA-PBE.

Cell: 10.9905 10.9905 10.9905 Å, 18.39 18.39 18.39°
Element x y z (fractional)
Tm: 0.0000 0.0000 0.0000
Al: 0.5000 0.5000 0.5000
Pb: 0.0965 0.0965 0.0965
Pb: 0.9035 0.9035 0.9035

Calculated values
- magnetization (Bohr magnetons per cell) = 0.00
- DOS(E_F) (states/eV per atom) = 0.6096
- SG = No. 166



Which is most stable? The ranking, best first, is a, b.